1.
Entry from Alexandria: a geometry-optimized LiTa3N4 structure (GGA-PBE).

Lattice parameters (Å, degrees): 5.2231 10.4050 9.0483 90.00 90.00 90.00
Last column: nearest neighbours and their distance in Å.
Space group Pnn2 (No. 34)
Inequivalent atoms, fractional coordinates:
Li (0.0000, 0.0000, 0.0000) x2  6 N 2.11-2.24
Li (0.0000, 0.0000, 0.3160) x2  6 N 2.15-2.19
Li (0.0000, 0.5000, 0.9802) x2  6 N 2.12-2.19
Ta (0.0000, 0.0000, 0.6380) x2  6 N 2.04-2.23
Ta (0.0000, 0.5000, 0.3240) x2  6 N 2.13-2.16
Ta (0.0000, 0.5000, 0.6685) x2  6 N 2.05-2.22
Ta (0.1598, 0.2473, 0.1529) x4  6 N 2.18-2.23
Ta (0.1666, 0.2507, 0.8239) x4  6 N 2.17-2.23
Ta (0.1707, 0.2477, 0.4855) x4  6 N 2.18-2.23
N (0.1644, 0.6199, 0.4895) x4  5 Ta 2.13-2.23, 1 Li 2.15
N (0.1650, 0.6217, 0.8184) x4  4 Ta 2.05-2.19, 2 Li 2.12-2.16
N (0.1657, 0.8785, 0.4887) x4  4 Ta 2.04-2.21, 2 Li 2.16-2.19
N (0.1671, 0.8800, 0.8181) x4  5 Ta 2.14-2.23, 1 Li 2.24
N (0.1677, 0.6193, 0.1541) x4  5 Ta 2.14-2.23, 1 Li 2.19
N (0.1771, 0.8771, 0.1551) x4  2 Li 2.11-2.15, 4 Ta 2.12-2.19

Results
- final energy (eV per atom) = -10.05
- crystal system = orthorhombic
- energy relative to the elements, uncorrected (meV/atom) = -1199


2.
Entry from Alexandria: a geometry-optimized Sm2PdI structure (GGA-PBE).

Lattice parameters (Å, degrees): 4.2195 4.2195 8.0947 90.00 90.00 120.00
Last column: nearest neighbours and their distance in Å.
Space group P-3m1 (No. 164)
Inequivalent atoms, fractional coordinates:
Sm (0.3333, 0.6667, 0.3145) x2  3 Pd 2.86
Pd (0.0000, 0.0000, 0.5000) x1  6 Sm 2.86
I (0.0000, 0.0000, 0.0000) x1  6 Sm 3.52

Results
- energy relative to the lowest polymorph listed for this composition (meV/atom) = 15.9
- final energy (eV per atom) = -4.89
- crystal system = trigonal
- energy relative to the elements, uncorrected (meV/atom) = -843


3.
Entry from Alexandria: a geometry-optimized AcPrGaNi structure (GGA-PBE).

Lattice parameters (Å, degrees): 4.4473 4.0090 12.1003 90.00 90.00 90.00
Last column: nearest neighbours and their distance in Å.
Space group Amm2 (No. 38)
Inequivalent atoms, fractional coordinates:
Ac (0.0000, 0.0000, 0.0000) x2  4 Ni 3.21, 3 Ga 3.24-3.51
Pr (0.5000, 0.0000, 0.7275) x2  2 Ni 2.93, 4 Ga 3.09
Ga (0.0000, 0.0000, 0.2900) x2  2 Ni 2.62
Ni (0.5000, 0.0000, 0.4047) x2  2 Ga 2.62, 2 Pr 2.93

Results
- energy relative to the lowest polymorph listed for this composition (meV/atom) = 0.0
- final energy (eV per atom) = -4.81
- crystal system = orthorhombic


4.
Entry from Alexandria: a geometry-optimized Ac2MgGa4Ag3 structure (GGA-PBE).

Lattice parameters (Å, degrees): 4.5057 4.5057 11.3603 90.00 90.00 90.00
Last column: nearest neighbours and their distance in Å.
Space group P-4m2 (No. 115)
Inequivalent atoms, fractional coordinates:
Ac (0.0000, 0.5000, 0.2449) x2  8 Ga 3.44-3.58, 6 Ag 3.45-3.67, 2 Mg 3.67
Mg (0.0000, 0.0000, 0.5000) x1  4 Ga 2.76
Ga (0.0000, 0.0000, 0.0000) x1  4 Ag 2.68
Ga (0.0000, 0.5000, 0.6406) x2  3 Ag 2.63-2.76, 2 Mg 2.76
Ga (0.5000, 0.5000, 0.0000) x1  4 Ag 2.68
Ag (0.0000, 0.5000, 0.8717) x2  5 Ga 2.63-2.68
Ag (0.5000, 0.5000, 0.5000) x1  4 Ga 2.76

Results
- final energy (eV per atom) = -3.43
- crystal system = tetragonal


5.
Entry from Alexandria: a geometry-optimized La2Ge3Rh4Au structure (GGA-PBE).

Lattice parameters (Å, degrees): 4.2527 4.2527 10.7115 90.00 90.00 90.00
Last column: nearest neighbours and their distance in Å.
Space group P-4m2 (No. 115)
Inequivalent atoms, fractional coordinates:
La (0.0000, 0.5000, 0.2454) x2  8 Rh 3.17-3.46, 6 Ge 3.33-3.38, 2 Au 3.38
Ge (0.0000, 0.0000, 0.0000) x1  4 Rh 2.68
Ge (0.0000, 0.5000, 0.6206) x2  5 Rh 2.43-2.49
Rh (0.0000, 0.0000, 0.5000) x1  4 Ge 2.49
Rh (0.0000, 0.5000, 0.8475) x2  3 Ge 2.43-2.68, 2 Au 2.68
Rh (0.5000, 0.5000, 0.5000) x1  4 Ge 2.49
Au (0.5000, 0.5000, 0.0000) x1  4 Rh 2.68

Results
- final energy (eV per atom) = -6.43
- crystal system = tetragonal


6.
Entry from Alexandria: a geometry-optimized InAsPt2 structure (GGA-PBE).

Lattice parameters (Å, degrees): 3.5288 4.3112 9.4174 90.00 90.00 90.00
Last column: nearest neighbours and their distance in Å.
Space group Imm2 (No. 44)
Inequivalent atoms, fractional coordinates:
In (0.0000, 0.0000, 0.0000) x2  6 Pt 2.81-2.94, 4 As 3.05-3.10
As (0.0000, 0.5000, 0.2359) x2  6 Pt 2.57-2.83
Pt (0.0000, 0.0000, 0.5379) x2  2 As 2.57, 4 In 2.81
Pt (0.0000, 0.5000, 0.7879) x2  4 As 2.83, 2 In 2.94, 2 Pt 2.94

Results
- final energy (eV per atom) = -5.07
- crystal system = orthorhombic


7.
Entry from Alexandria: a geometry-optimized Ca3Ac3AgSe8 structure (GGA-PBE).

Lattice parameters (Å, degrees): 8.6963 8.6963 21.0245 90.00 90.00 120.00
Last column: nearest neighbours and their distance in Å.
Space group R-3m (No. 166, hexagonal axes)
Inequivalent atoms, fractional coordinates:
Ca (0.0000, 0.5000, 0.0000) x9  6 Se 3.00-3.03
Ac (0.0000, 0.5000, 0.5000) x9  6 Se 3.10-3.12
Ag (0.0000, 0.0000, 0.5000) x3  6 Se 3.02
Se (0.0000, 0.0000, 0.2551) x6  3 Ca 3.00, 3 Ac 3.12
Se (0.0082, 0.5041, 0.2509) x18  1 Ag 3.02, 2 Ca 3.03, 2 Ac 3.10

Results
- final energy (eV per atom) = -4.97
- crystal system = trigonal
- energy relative to the elements, uncorrected (meV/atom) = -1700


8.
Entry from Alexandria: a geometry-optimized CaCu2Rh structure (GGA-PBE).

Lattice parameters (Å, degrees): 7.3818 4.2603 5.3690 90.00 117.49 90.00
Last column: nearest neighbours and their distance in Å.
Space group C2/m (No. 12)
Inequivalent atoms, fractional coordinates:
Ca (0.0000, 0.0000, 0.0000) x2  8 Cu 2.82-3.14
Cu (0.1975, 0.0000, 0.5921) x4  3 Rh 2.50, 3 Cu 2.61
Rh (0.0000, 0.5000, 0.5000) x2  6 Cu 2.50

Results
- energy relative to the lowest polymorph listed for this composition (meV/atom) = 0.0
- final energy (eV per atom) = -4.53
- crystal system = monoclinic


9.
Entry from Alexandria: a geometry-optimized Na3Cd2Ag3 structure (GGA-PBE).

Lattice parameters (Å, degrees): 5.6128 5.6128 21.4049 90.00 90.00 120.00
Last column: nearest neighbours and their distance in Å.
Space group R-3m (No. 166, hexagonal axes)
Inequivalent atoms, fractional coordinates:
Na (0.0000, 0.0000, 0.0000) x3  6 Cd 3.42, 6 Na 3.79
Na (0.0000, 0.0000, 0.4252) x6  4 Cd 3.07-3.35, 1 Na 3.20, 6 Ag 3.23
Cd (0.0000, 0.0000, 0.2819) x6  3 Ag 2.95, 1 Na 3.07
Ag (0.0000, 0.5000, 0.5000) x9  4 Ag 2.81, 2 Cd 2.95

Results
- energy relative to the lowest polymorph listed for this composition (meV/atom) = 5.1
- final energy (eV per atom) = -1.85
- crystal system = trigonal


10.
Entry from Alexandria: a geometry-optimized Ba2Tl3In5 structure (GGA-PBE).

Lattice parameters (Å, degrees): 5.0406 5.0406 12.8185 90.00 90.00 90.00
Last column: nearest neighbours and their distance in Å.
Space group P-4m2 (No. 115)
Inequivalent atoms, fractional coordinates:
Ba (0.0000, 0.5000, 0.2428) x2  10 In 3.85-4.15, 6 Tl 3.86-4.15
Tl (0.0000, 0.5000, 0.6414) x2  3 In 2.93-3.10, 2 Tl 3.10
Tl (0.5000, 0.5000, 0.5000) x1  4 Tl 3.10
In (0.0000, 0.0000, 0.0000) x1  4 In 3.02
In (0.0000, 0.0000, 0.5000) x1  4 Tl 3.10
In (0.0000, 0.5000, 0.8703) x2  1 Tl 2.93, 4 In 3.02
In (0.5000, 0.5000, 0.0000) x1  4 In 3.02

Results
- energy relative to the lowest polymorph listed for this composition (meV/atom) = 0.0
- final energy (eV per atom) = -2.75
- crystal system = tetragonal


11.
Entry from Alexandria: a geometry-optimized ErInGe2 structure (GGA-PBE).

Lattice parameters (Å, degrees): 4.6416 4.6416 21.9313 90.00 90.00 120.00
Last column: nearest neighbours and their distance in Å.
Space group R-3m (No. 166, hexagonal axes)
Inequivalent atoms, fractional coordinates:
Er (0.0000, 0.0000, 0.0000) x3  6 Ge 2.87
In (0.0000, 0.0000, 0.5000) x3  2 Ge 2.62
Ge (0.0000, 0.0000, 0.3805) x6  1 In 2.62, 3 Er 2.87

Results
- final energy (eV per atom) = -3.92
- crystal system = trigonal


12.
Entry from Alexandria: a geometry-optimized TmAl2Co structure (GGA-PBE).

Lattice parameters (Å, degrees): 3.0306 3.0306 7.2252 90.00 90.00 90.00
Last column: nearest neighbours and their distance in Å.
Space group P4/mmm (No. 123)
Inequivalent atoms, fractional coordinates:
Tm (0.0000, 0.0000, 0.0000) x1  4 Tm 3.03, 8 Al 3.12
Al (0.5000, 0.5000, 0.3139) x2  4 Co 2.53, 1 Al 2.69
Co (0.0000, 0.0000, 0.5000) x1  8 Al 2.53

Results
- final energy (eV per atom) = -5.15
- crystal system = tetragonal